[1]
A relaxed structure of Bi2TeI2. Source: Alexandria, functional PBE.

abc: 8.169 8.169 5.239
angles: 90.00 90.00 90.00
Atoms (fractional coordinates):
Bi (0.144, 0.356, 0.000)
Bi (0.356, 0.856, 0.000)
Bi (0.644, 0.144, 0.000)
Bi (0.856, 0.644, 0.000)
Te (0.000, 0.000, 0.000)
Te (0.500, 0.500, 0.000)
I (0.168, 0.668, 0.500)
I (0.332, 0.168, 0.500)
I (0.668, 0.832, 0.500)
I (0.832, 0.332, 0.500)

* excess energy over the best structure of this formula in the dataset: 0.0511 eV per atom

***

[2]
A relaxed structure of BiTeI6. Source: Alexandria, functional PBE.

abc: 7.409 7.753 8.089
angles: 63.94 89.60 62.97
Atoms (fractional coordinates):
Bi (0.000, 0.000, 0.000)
Te (0.500, 0.000, 0.500)
I (0.104, 0.518, 0.240)
I (0.261, 0.814, 0.750)
I (0.431, 0.829, 0.257)
I (0.569, 0.171, 0.743)
I (0.739, 0.186, 0.250)
I (0.896, 0.482, 0.760)

***

[3]
A relaxed structure of TiBi2TeI. Source: Alexandria, functional PBE.

abc: 5.550 5.550 5.213
angles: 90.00 90.00 90.00
Atoms (fractional coordinates):
Ti (0.000, 0.000, 0.000)
Bi (0.000, 0.500, 0.000)
Bi (0.500, 0.000, 0.000)
Te (0.000, 0.000, 0.500)
I (0.500, 0.500, 0.500)

***

[4]
A relaxed structure of Ti2BiTeI. Source: Alexandria, functional PBE.

abc: 5.551 5.551 5.825
angles: 90.00 90.00 90.00
Atoms (fractional coordinates):
Ti (0.000, 0.500, 0.000)
Ti (0.500, 0.000, 0.000)
Bi (0.000, 0.000, 0.000)
Te (0.500, 0.500, 0.500)
I (0.000, 0.000, 0.500)

***

[5]
A relaxed structure of TiBiTe2I. Source: Alexandria, functional PBE.

abc: 5.464 5.464 5.371
angles: 90.00 90.00 90.00
Atoms (fractional coordinates):
Ti (0.000, 0.000, 0.000)
Bi (0.500, 0.500, 0.500)
Te (0.000, 0.500, 0.000)
Te (0.500, 0.000, 0.000)
I (0.000, 0.000, 0.500)

* excess energy over the best structure of this formula in the dataset: 0.0000 eV per atom

***

[6]
A relaxed structure of TlBiTe2I. Source: Alexandria, functional PBE.

abc: 5.963 5.963 6.259
angles: 90.00 90.00 90.00
Atoms (fractional coordinates):
Tl (0.000, 0.000, 0.000)
Bi (0.500, 0.500, 0.500)
Te (0.000, 0.500, 0.500)
Te (0.500, 0.000, 0.500)
I (0.500, 0.500, 0.000)

* excess energy over the best structure of this formula in the dataset: 0.0000 eV per atom

***

[7]
A relaxed structure of VBiTe2I. Source: Alexandria, functional PBE.

abc: 5.358 5.358 5.376
angles: 90.00 90.00 90.00
Atoms (fractional coordinates):
V (0.000, 0.000, 0.000)
Bi (0.500, 0.500, 0.500)
Te (0.000, 0.500, 0.000)
Te (0.500, 0.000, 0.000)
I (0.000, 0.000, 0.500)

* excess energy over the best structure of this formula in the dataset: 0.0000 eV per atom

***

[8]
A relaxed structure of YBiTe2I. Source: Alexandria, functional PBE.

abc: 5.945 5.945 5.755
angles: 90.00 90.00 90.00
Atoms (fractional coordinates):
Y (0.000, 0.000, 0.000)
Bi (0.500, 0.500, 0.500)
Te (0.000, 0.500, 0.000)
Te (0.500, 0.000, 0.000)
I (0.000, 0.000, 0.500)

* excess energy over the best structure of this formula in the dataset: 0.0000 eV per atom

***

[9]
A relaxed structure of YBiTe2I. Source: Alexandria, functional PBE.

abc: 5.933 5.933 5.834
angles: 90.00 90.00 90.00
Atoms (fractional coordinates):
Y (0.000, 0.000, 0.000)
Bi (0.500, 0.500, 0.500)
Te (0.000, 0.500, 0.500)
Te (0.500, 0.000, 0.500)
I (0.500, 0.500, 0.000)

* excess energy over the best structure of this formula in the dataset: 0.4025 eV per atom

***

[10]
A relaxed structure of ZnBiTeI2. Source: Alexandria, functional PBE.

abc: 6.152 6.152 6.084
angles: 90.00 90.00 90.00
Atoms (fractional coordinates):
Zn (0.000, 0.000, 0.000)
Bi (0.500, 0.500, 0.500)
Te (0.500, 0.500, 0.000)
I (0.000, 0.500, 0.500)
I (0.500, 0.000, 0.500)

* excess energy over the best structure of this formula in the dataset: 0.0687 eV per atom

***

[11]
A relaxed structure of ZnBiTeI2. Source: Alexandria, functional PBE.

abc: 5.392 5.392 5.648
angles: 90.00 90.00 90.00
Atoms (fractional coordinates):
Zn (0.000, 0.000, 0.000)
Bi (0.500, 0.500, 0.500)
Te (0.000, 0.000, 0.500)
I (0.000, 0.500, 0.000)
I (0.500, 0.000, 0.000)

* excess energy over the best structure of this formula in the dataset: 0.0000 eV per atom

***

[12]
A relaxed structure of ZrBiTe2I. Source: Alexandria, functional PBE.

abc: 5.672 5.672 5.658
angles: 90.00 90.00 90.00
Atoms (fractional coordinates):
Zr (0.000, 0.000, 0.000)
Bi (0.500, 0.500, 0.500)
Te (0.000, 0.500, 0.000)
Te (0.500, 0.000, 0.000)
I (0.000, 0.000, 0.500)

* excess energy over the best structure of this formula in the dataset: 0.0000 eV per atom

***

Number 1: uncorrected energy -2.7880 eV/atom, uncorrected formation energy 0.013 eV per atom. Number 2: uncorrected energy -2.2077 eV/atom, uncorrected formation energy -0.167 eV per atom. Number 3: uncorrected energy -4.0800 eV/atom, uncorrected formation energy -0.010 eV per atom. Number 4: uncorrected energy -3.9783 eV/atom, uncorrected formation energy 0.894 eV per atom. Number 5: uncorrected energy -3.9244 eV/atom, uncorrected formation energy -0.003 eV per atom. Number 6: uncorrected energy -2.7911 eV/atom, uncorrected formation energy 0.025 eV per atom. Number 7: uncorrected energy -3.9778 eV/atom, uncorrected formation energy 0.189 eV per atom. Number 8: uncorrected energy -3.8955 eV/atom, uncorrected formation energy -0.260 eV per atom. Number 9: uncorrected energy -3.4929 eV/atom, uncorrected formation energy 0.143 eV per atom. Number 10: uncorrected energy -2.0563 eV/atom, uncorrected formation energy 0.223 eV per atom. Number 11: uncorrected energy -2.1250 eV/atom, uncorrected formation energy 0.154 eV per atom. Number 12: uncorrected energy -4.0977 eV/atom, uncorrected formation energy -0.045 eV per atom.